No. 1
A geometry-optimized La2CeHo3P6 structure. Source: the Alexandria database, functional GGA-PBE.

Unit cell a=4.103 b=8.201 c=9.157 alpha=102.79 beta=102.95 gamma=90.00
Last column: magnetic moment on the atom in μB.
Element x y z (fractional)
P 0.667 0.073 0.333  -0.01
Ho 0.833 0.166 0.666  0.00
P 0.333 0.927 0.667  -0.01
P 0.337 0.407 0.674  0.00
Ce 0.500 0.000 0.000  0.46
P 0.004 0.750 0.007  -0.01
La 0.166 0.334 0.333  0.00
P 0.996 0.250 0.993  -0.01
Ho 0.500 0.500 0.000  0.00
Ho 0.167 0.834 0.334  0.00
P 0.663 0.593 0.326  0.00
La 0.834 0.666 0.667  0.00

Output
As for the space group: No. 12.


No. 2
A geometry-optimized LuPa2P structure. Source: the Alexandria database, functional GGA-PBE.

Unit cell a=3.403 b=3.403 c=10.321 alpha=80.51 beta=80.51 gamma=60.00
Element x y z (fractional)
Pa 0.104 0.104 0.688
P 0.500 0.500 0.500
Pa 0.896 0.896 0.312
Lu 0.000 0.000 0.000

Output
As for the space group: No. 166.


Number 1: ΔE_f -1.572 eV per atom, uncorrected energy -6.737 eV per atom. Number 2: ΔE_f -0.141 eV per atom, uncorrected energy -7.371 eV per atom.